1.
DFT (PBE) results for a relaxed Cr2CuOs crystal.

Lattice parameters (Å, degrees): 2.6682 3.6472 5.1938 90.00 90.00 90.00
With the nearest neighbours (Å) after each atom.
Fractional positions:
Cr1 0.0000 0.0000 0.0000  4 Os 2.56, 2 Cu 2.57-2.63, 6 Cr 2.59-2.67
Cr2 0.5000 0.5000 0.2438  2 Os 2.47-2.72, 6 Cr 2.59-2.67, 4 Cu 2.61
Cu1 0.0000 0.0000 0.4945  6 Cr 2.57-2.63, 4 Os 2.67, 2 Cu 2.67
Os1 0.5000 0.5000 0.7673  6 Cr 2.47-2.72, 4 Cu 2.67, 2 Os 2.67

## Properties
DFT formation energy ... 25.6 kJ/mol of atoms
Energy ... -8.378 eV/atom

=====

2.
DFT (PBE) results for a relaxed ErHf2Al crystal.

Lattice parameters (Å, degrees): 4.4397 4.4397 4.4348 90.00 90.00 90.00
With the nearest neighbours (Å) after each atom.
Fractional positions:
Er1 0.0000 0.0000 0.0000  8 Hf 3.14, 4 Al 3.14
Hf1 0.0000 0.5000 0.5000  4 Er 3.14, 4 Al 3.14, 4 Hf 3.14
Hf2 0.5000 0.0000 0.5000  4 Er 3.14, 4 Al 3.14, 4 Hf 3.14
Al1 0.5000 0.5000 0.0000  8 Hf 3.14, 4 Er 3.14

## Properties
DFT formation energy ... -13.1 kJ/mol of atoms
Energy ... -7.188 eV/atom
Energy above the most stable polymorph in this dataset ... 0.0000 eV/atom

=====

3.
DFT (PBE) results for a relaxed PmGdInCo crystal.

Lattice parameters (Å, degrees): 5.1839 5.1839 5.1839 60.00 60.00 60.00
With the nearest neighbours (Å) after each atom.
Fractional positions:
Pm1 0.0000 0.0000 0.0000  4 In 3.17, 4 Co 3.17
Gd1 0.5000 0.5000 0.5000  4 In 3.17, 4 Co 3.17
In1 0.2500 0.2500 0.2500  4 Gd 3.17, 4 Pm 3.17
Co1 0.7500 0.7500 0.7500  4 Gd 3.17, 4 Pm 3.17

## Properties
DFT formation energy ... -13.3 kJ/mol of atoms
Energy ... -7.307 eV/atom

=====

4.
DFT (PBE) results for a relaxed NaZrIO2 crystal.

Lattice parameters (Å, degrees): 4.1652 4.1652 6.1322 90.00 90.00 90.00
With the nearest neighbours (Å) after each atom.
Fractional positions:
Na1 0.0000 0.0000 0.0000  4 I 2.95
Zr1 0.5000 0.5000 0.5000  4 O 2.08
I1 0.5000 0.5000 0.0000  4 Na 2.95, 2 Zr 3.07
O1 0.0000 0.5000 0.5000  2 Zr 2.08
O2 0.5000 0.0000 0.5000  2 Zr 2.08

## Properties
Raw formation energy ... -1.9591 eV per atom
Energy ... -6.226 eV/atom
Energy above the most stable polymorph in this dataset ... 0.0000 eV/atom

=====

5.
DFT (PBE) results for a relaxed FeTeWN2 crystal.

Lattice parameters (Å, degrees): 3.7869 3.7869 5.2277 90.00 90.00 90.00
With the nearest neighbours (Å) after each atom.
Fractional positions:
Fe1 0.0000 0.0000 0.0000  4 N 1.89
Te1 0.0000 0.0000 0.5000  2 Fe 2.61, 4 W 2.68
W1 0.5000 0.5000 0.5000  4 Te 2.68
N1 0.0000 0.5000 0.0000  2 Fe 1.89
N2 0.5000 0.0000 0.0000  2 Fe 1.89

## Properties
Raw formation energy ... 1.5701 eV per atom
Energy ... -6.672 eV/atom
Energy above the most stable polymorph in this dataset ... 0.9223 eV/atom

=====

6.
DFT (PBE) results for a relaxed InFeP2S crystal.

Lattice parameters (Å, degrees): 4.2200 4.2200 5.2905 90.00 90.00 90.00
With the nearest neighbours (Å) after each atom.
Fractional positions:
In1 0.0000 0.0000 0.0000  4 S 2.98
Fe1 0.5000 0.5000 0.5000  4 P 2.11
P1 0.0000 0.5000 0.5000  2 Fe 2.11
P2 0.5000 0.0000 0.5000  2 Fe 2.11
S1 0.5000 0.5000 0.0000  2 Fe 2.65

## Properties
Raw formation energy ... 0.2640 eV per atom
Energy ... -4.966 eV/atom
Energy above the most stable polymorph in this dataset ... 0.0000 eV/atom

=====

7.
DFT (PBE) results for a relaxed Tb8Ho6Pu crystal.

Lattice parameters (Å, degrees): 9.2572 9.2572 6.6452 90.00 90.00 120.00
With the nearest neighbours (Å) after each atom.
Fractional positions:
Tb1 0.0174 0.6904 0.3892  4 Ho 3.18-3.55, 3 Tb 3.30-3.31
Tb2 0.3096 0.3270 0.3892  4 Ho 3.18-3.55, 3 Tb 3.30-3.31
Tb3 0.3270 0.0174 0.6108  4 Ho 3.18-3.55, 3 Tb 3.30-3.31
Tb4 0.3333 0.6667 0.6819  6 Tb 3.31-3.61, 3 Ho 3.70
Tb5 0.6667 0.3333 0.3181  6 Tb 3.31-3.61, 3 Ho 3.70
Tb6 0.6730 0.9826 0.3892  4 Ho 3.18-3.55, 3 Tb 3.30-3.31
Tb7 0.6904 0.6730 0.6108  4 Ho 3.18-3.55, 3 Tb 3.30-3.31
Tb8 0.9826 0.3096 0.6108  4 Ho 3.18-3.55, 3 Tb 3.30-3.31
Ho1 0.0779 0.4011 0.1042  1 Ho 3.16, 3 Tb 3.18-3.48, 1 Pu 3.48
Ho2 0.3231 0.9221 0.1042  1 Ho 3.16, 3 Tb 3.18-3.48, 1 Pu 3.48
Ho3 0.4011 0.3231 0.8958  1 Ho 3.16, 3 Tb 3.18-3.48, 1 Pu 3.48
Ho4 0.5989 0.6769 0.1042  1 Ho 3.16, 3 Tb 3.18-3.48, 1 Pu 3.48
Ho5 0.6769 0.0779 0.8958  1 Ho 3.16, 3 Tb 3.18-3.48, 1 Pu 3.48
Ho6 0.9221 0.5989 0.8958  1 Ho 3.16, 3 Tb 3.18-3.48, 1 Pu 3.48
Pu1 0.0000 0.0000 0.0000  6 Ho 3.48

## Properties
DFT formation energy ... 25.8 kJ/mol of atoms
Energy ... -4.988 eV/atom

=====

8.
DFT (PBE) results for a relaxed Cs3ReH crystal.

Lattice parameters (Å, degrees): 5.9541 5.9541 5.9541 90.00 90.00 90.00
With the nearest neighbours (Å) after each atom.
Fractional positions:
Cs1 0.0000 0.0000 0.5000  2 Re 2.98
Cs2 0.0000 0.5000 0.0000  2 Re 2.98
Cs3 0.5000 0.0000 0.0000  2 Re 2.98
Re1 0.0000 0.0000 0.0000  6 Cs 2.98
H1 0.5000 0.5000 0.5000  12 Cs 4.21

## Properties
Energy ... -2.267 eV/atom

=====

9.
DFT (PBE) results for a relaxed KZn2Mo crystal.

Lattice parameters (Å, degrees): 2.7809 2.7809 9.8964 90.00 90.00 90.00
With the nearest neighbours (Å) after each atom.
Fractional positions:
K1 0.0000 0.0000 0.0000  4 K 2.78
Zn1 0.5000 0.5000 0.2948  4 Zn 2.78, 4 Mo 2.83
Zn2 0.5000 0.5000 0.7052  4 Zn 2.78, 4 Mo 2.83
Mo1 0.0000 0.0000 0.5000  4 Mo 2.78, 8 Zn 2.83

## Properties
DFT formation energy ... 44.4 kJ/mol of atoms
Energy ... -3.159 eV/atom
Energy above the most stable polymorph in this dataset ... 0.0390 eV/atom

=====

10.
DFT (PBE) results for a relaxed Re2Rh crystal.

Lattice parameters (Å, degrees): 12.5375 12.5375 12.5375 167.57 167.57 17.61
With the nearest neighbours (Å) after each atom.
Fractional positions:
Re1 0.2957 0.5457 0.7500  6 Re 2.64-2.71, 4 Rh 2.75
Re2 0.4543 0.7043 0.7500  6 Re 2.64-2.71, 4 Rh 2.75
Re3 0.5457 0.2957 0.2500  6 Re 2.64-2.71, 4 Rh 2.75
Re4 0.7043 0.4543 0.2500  6 Re 2.64-2.71, 4 Rh 2.75
Rh1 0.1250 0.8750 0.2500  4 Rh 2.71, 8 Re 2.75
Rh2 0.8750 0.1250 0.7500  4 Rh 2.71, 8 Re 2.75

## Properties
DFT formation energy ... 27.9 kJ/mol of atoms
Energy ... -10.460 eV/atom
Energy above the most stable polymorph in this dataset ... 0.4238 eV/atom

=====

11.
DFT (PBE) results for a relaxed Ta2OsBr crystal.

Lattice parameters (Å, degrees): 7.1376 7.1376 7.1376 131.09 131.09 71.67
With the nearest neighbours (Å) after each atom.
Fractional positions:
Ta1 0.1017 0.6250 0.9767  2 Os 2.46, 2 Br 2.62
Ta2 0.3750 0.3517 0.4767  2 Os 2.46, 2 Br 2.62
Ta3 0.6483 0.1250 0.0233  2 Os 2.46, 2 Br 2.62
Ta4 0.8750 0.8983 0.5233  2 Os 2.46, 2 Br 2.62
Os1 0.0000 0.0000 0.0000  4 Ta 2.46
Os2 0.7500 0.2500 0.5000  4 Ta 2.46
Br1 0.2500 0.7500 0.5000  4 Ta 2.62
Br2 0.5000 0.5000 0.0000  4 Ta 2.62

## Properties
Raw formation energy ... 1.0674 eV per atom
Energy ... -8.085 eV/atom
Energy above the most stable polymorph in this dataset ... 0.9262 eV/atom

=====

12.
DFT (PBE) results for a relaxed Pr3Mg3Zn8 crystal.

Lattice parameters (Å, degrees): 8.6317 8.6317 8.6317 149.21 115.77 72.91
With the nearest neighbours (Å) after each atom.
Fractional positions:
Pr1 0.0000 0.0000 0.0000  12 Zn 3.22-3.47, 4 Mg 3.55
Pr2 0.2961 0.2961 0.0000  12 Zn 3.19-3.37, 2 Mg 3.40
Pr3 0.7039 0.7039 0.0000  12 Zn 3.19-3.37, 2 Mg 3.40
Mg1 0.2955 0.5000 0.7955  2 Zn 2.71, 2 Mg 2.96
Mg2 0.5000 0.0000 0.5000  4 Zn 2.90, 4 Mg 2.96
Mg3 0.7045 0.5000 0.2045  2 Zn 2.71, 2 Mg 2.96
Zn1 0.0275 0.6647 0.3628  4 Zn 2.52-2.76, 1 Mg 2.71
Zn2 0.1272 0.8543 0.2729  3 Zn 2.62-2.76, 1 Mg 2.90
Zn3 0.3019 0.6647 0.6372  4 Zn 2.52-2.76, 1 Mg 2.71
Zn4 0.4186 0.1457 0.2729  3 Zn 2.62-2.76, 1 Mg 2.90
Zn5 0.5814 0.8543 0.7271  3 Zn 2.62-2.76, 1 Mg 2.90
Zn6 0.6981 0.3353 0.3628  4 Zn 2.52-2.76, 1 Mg 2.71
Zn7 0.8728 0.1457 0.7271  3 Zn 2.62-2.76, 1 Mg 2.90
Zn8 0.9725 0.3353 0.6372  4 Zn 2.52-2.76, 1 Mg 2.71

## Properties
DFT formation energy ... -28.7 kJ/mol of atoms
Energy ... -2.391 eV/atom